! K3Ho2VSe6, optimized geometry, DFT PBE; values from VASP
! Formation energy from raw total energies (kJ per mole of atoms): -138.04
! Magnetization (μB per formula unit): 2.00
&SYSTEM
  ibrav = 0, nat = 12, ntyp = 4
/
ATOMIC_SPECIES
K 39.10 K.upf
Ho 164.93 Ho.upf
V 50.94 V.upf
Se 78.96 Se.upf
CELL_PARAMETERS angstrom
-6.593 -0.136 2.538
1.554 -3.411 -5.990
3.368 -5.107 5.178
ATOMIC_POSITIONS angstrom
K 1.846 -5.405 -1.944
K -3.517 -3.249 3.671
K -0.836 -4.327 0.864
Ho -1.166 -2.318 -3.142
Ho -3.873 -1.230 -0.309
V 0.000 0.000 0.000
Se -2.489 -6.348 2.803
Se -3.135 -3.690 -1.577
Se 0.818 -2.306 -1.076
Se 0.055 -7.371 0.140
Se 1.463 -4.964 3.304
Se -1.726 -1.283 1.587